Here is a PBEsol-optimized structure of HfTl2P from Alexandria. Energies are from SCAN.

Cell and atoms, written as CIF:
```
data_HfTl2P
_cell_length_a 7.079
_cell_length_b 7.079
_cell_length_c 7.079
_cell_angle_alpha 90.00
_cell_angle_beta 90.00
_cell_angle_gamma 90.00
_space_group_name_H-M_alt 'F m -3 m'
_space_group_IT_number 225
_space_group_name_Hall '-F 4 2 3'
loop_
_atom_site_label
_atom_site_fract_x
_atom_site_fract_y
_atom_site_fract_z
_atom_site_occupancy
Hf1 0.000 0.000 0.000 1
Tl1 0.250 0.250 0.250 1
P1 0.000 0.000 0.500 1
```

Results
- Formation enthalpy at 0 K: 0.67 eV per atom

Here is a PBEsol-optimized structure of KBe2Tl from Alexandria. Energies are from SCAN.

Cell and atoms, written as CIF:
```
data_KBe2Tl
_cell_length_a 4.8347
_cell_length_b 4.8347
_cell_length_c 11.2625
_cell_angle_alpha 90.00
_cell_angle_beta 90.00
_cell_angle_gamma 120.00
_space_group_name_H-M_alt 'R -3 m'
_space_group_IT_number 166
_space_group_name_Hall '-R 3 2"'
loop_
_atom_site_label
_atom_site_fract_x
_atom_site_fract_y
_atom_site_fract_z
_atom_site_occupancy
K1 0.0000 0.0000 0.0000 1
Be1 0.0000 0.0000 0.2696 1
Tl1 0.0000 0.0000 0.5000 1
```

Results
- Energy above the most stable polymorph in this dataset: 28.6 kJ/mol of atoms
- Formation enthalpy at 0 K: 0.81 eV per atom

Here is a PBEsol-optimized structure of MnFe3 from Alexandria. Energies are from SCAN.

Cell and atoms, written as CIF:
```
data_MnFe3
_cell_length_a 2.761
_cell_length_b 3.934
_cell_length_c 7.873
_cell_angle_alpha 90.00
_cell_angle_beta 90.00
_cell_angle_gamma 90.00
_space_group_name_H-M_alt 'I m m m'
_space_group_IT_number 71
_space_group_name_Hall '-I 2 2'
loop_
_atom_site_label
_atom_site_fract_x
_atom_site_fract_y
_atom_site_fract_z
_atom_site_occupancy
Mn1 0.000 0.000 0.000 1
Fe1 0.000 0.000 0.500 1
Fe2 0.000 0.500 0.251 1
```

Results
- Formation enthalpy at 0 K: 0.08 eV per atom

Here is a PBEsol-optimized structure of CdPbSe2 from Alexandria. Energies are from SCAN.

Cell and atoms, written as CIF:
```
data_CdPbSe2
_cell_length_a 3.844
_cell_length_b 3.711
_cell_length_c 7.313
_cell_angle_alpha 90.00
_cell_angle_beta 104.76
_cell_angle_gamma 90.00
_space_group_name_H-M_alt 'P 1 2/m 1'
_space_group_IT_number 10
_space_group_name_Hall '-P 2y'
loop_
_atom_site_label
_atom_site_fract_x
_atom_site_fract_y
_atom_site_fract_z
_atom_site_occupancy
Cd1 0.000 0.000 0.000 1
Pb1 0.500 0.000 0.500 1
Se1 0.107 0.500 0.752 1
```

Results
- Energy: -36.931 eV/atom

Here is a PBEsol-optimized structure of SbAs2Se from Alexandria. Energies are from SCAN.

Cell and atoms, written as CIF:
```
data_SbAs2Se
_cell_length_a 3.9929
_cell_length_b 3.9929
_cell_length_c 19.3718
_cell_angle_alpha 90.00
_cell_angle_beta 90.00
_cell_angle_gamma 120.00
_space_group_name_H-M_alt 'R -3 m'
_space_group_IT_number 166
_space_group_name_Hall '-R 3 2"'
loop_
_atom_site_label
_atom_site_fract_x
_atom_site_fract_y
_atom_site_fract_z
_atom_site_occupancy
Sb1 0.0000 0.0000 0.0000 1
As1 0.0000 0.0000 0.2483 1
Se1 0.0000 0.0000 0.5000 1
```

Results
- Energy: -24.338 eV/atom

Here is a PBEsol-optimized structure of ZnCu from Alexandria. Energies are from SCAN.

Cell and atoms, written as CIF:
```
data_ZnCu
_cell_length_a 4.582
_cell_length_b 4.210
_cell_length_c 5.101
_cell_angle_alpha 90.00
_cell_angle_beta 90.00
_cell_angle_gamma 90.00
_space_group_name_H-M_alt 'P n m a'
_space_group_IT_number 62
_space_group_name_Hall '-P 2ac 2n'
loop_
_atom_site_label
_atom_site_fract_x
_atom_site_fract_y
_atom_site_fract_z
_atom_site_occupancy
Zn1 0.097 0.250 0.124 1
Cu1 0.089 0.250 0.626 1
```

Results
- Formation enthalpy at 0 K: -0.09 eV per atom

Here is a PBEsol-optimized structure of BaCdSbI2 from Alexandria. Energies are from SCAN.

Cell and atoms, written as CIF:
```
data_BaCdSbI2
_cell_length_a 6.523
_cell_length_b 6.523
_cell_length_c 6.950
_cell_angle_alpha 90.00
_cell_angle_beta 90.00
_cell_angle_gamma 90.00
_space_group_name_H-M_alt 'P 4/m m m'
_space_group_IT_number 123
_space_group_name_Hall '-P 4 2'
loop_
_atom_site_label
_atom_site_fract_x
_atom_site_fract_y
_atom_site_fract_z
_atom_site_occupancy
Ba1 0.000 0.000 0.000 1
Cd1 0.500 0.500 0.500 1
Sb1 0.000 0.000 0.500 1
I1 0.000 0.500 0.000 1
```

Results
- Energy: -36.391 eV/atom

Here is a PBEsol-optimized structure of Li2HgAu from Alexandria. Energies are from SCAN.

Cell and atoms, written as CIF:
```
data_Li2HgAu
_cell_length_a 2.897
_cell_length_b 4.069
_cell_length_c 5.645
_cell_angle_alpha 90.00
_cell_angle_beta 90.00
_cell_angle_gamma 90.00
_space_group_name_H-M_alt 'P m m 2'
_space_group_IT_number 25
_space_group_name_Hall 'P 2 -2'
loop_
_atom_site_label
_atom_site_fract_x
_atom_site_fract_y
_atom_site_fract_z
_atom_site_occupancy
Li1 0.000 0.000 0.000 1
Li2 0.500 0.500 0.283 1
Hg1 0.500 0.500 0.781 1
Au1 0.000 0.000 0.475 1
```

Results
- Energy above the most stable polymorph in this dataset: 9.2 kJ/mol of atoms
- Formation enthalpy at 0 K: -0.45 eV per atom

Sequential calculated density output: 11.6, 5.7, 8.6, 7.9, 6.5, 8.7, 3.5, 10.3 Mg/m³